# LiFeP2, optimized geometry, DFT GGA-PBE
# Crystal system: monoclinic
# Total magnetization (μB/cell): 1.99
# Energy of formation (eV per atom): -0.057
# Offset from the most stable computed form (meV/atom): 302
data_LiFeP2
_space_group_name_H-M_alt 'P 1 2/m 1'
_space_group_IT_number 10
_cell_length_a 3.988
_cell_length_b 2.688
_cell_length_c 4.985
_cell_angle_alpha 90.00
_cell_angle_beta 112.13
_cell_angle_gamma 90.00
loop_
_space_group_symop_operation_xyz
'x,y,z'
'-x,-y,-z'
'-x,y,-z'
'x,-y,z'
loop_
_atom_site_label
_atom_site_type_symbol
_atom_site_fract_x
_atom_site_fract_y
_atom_site_fract_z
Li1 Li 0.000 0.000 0.000
Fe1 Fe 0.500 0.500 0.500
P1 P 0.000 0.000 0.500
P2 P 0.500 0.500 0.000